K4Rb2Na2Hg GGA-PBE optimized geometry; electronic total energy = -9.52 eV/f.u.; density of states at the Fermi level = 0.56 states/eV/atom; total magnetization = 0.00 μB per formula unit
1.0
-3.118 6.729 -0.017
-8.392 -3.342 -1.295
-5.159 -1.822 7.304
Na Hg K Rb
2 1 4 2
direct
0.256 0.171 0.171
0.744 0.829 0.829
0.500 0.000 0.000
0.216 0.660 0.128
0.784 0.872 0.340
0.784 0.340 0.872
0.216 0.128 0.660
0.286 0.642 0.642
0.714 0.358 0.358